An optimized crystal structure of AcNd2Ir, computed with PBE.

a b c (Å): 4.168 4.168 9.788
angles (deg): 77.71 77.71 60.00
Element x y z (fractional)
Nd 0.280 0.280 0.161
Nd 0.053 0.053 0.841
Ac 0.501 0.501 0.497
Ir 0.666 0.666 0.001

Calculated values
Calculated formation energy: -0.33 eV per atom
Magnetic moment: 0.00 μB per formula unit

***

An optimized crystal structure of AcNd2Ir, computed with PBE.

a b c (Å): 3.671 3.671 9.394
angles (deg): 90.00 90.00 90.00
Element x y z (fractional)
Ac 0.500 0.500 0.500
Ir 0.500 0.500 0.000
Nd 0.000 0.000 0.174
Nd 0.000 0.000 0.826

Calculated values
Calculated formation energy: -0.26 eV per atom
Magnetic moment: 0.00 μB per formula unit

***

no.,uncorrected energy (eV/atom),ρ (g/cm3)
1,-5.953,8.23
2,-5.886,9.28